Entry 1:
This record from the Alexandria database describes a relaxed Mg2TaSi crystal. The functional is PBE.

The calculation puts the formation energy from raw total energies at 0.280 eV/atom. The calculated total energy comes out at -4.84 eV per atom.

It has space group R-3m (No. 166, hexagonal axes), with a = 2.9853 Å, b = 2.9853 Å, c = 28.6944 Å, α = 90.00°, β = 90.00° and γ = 120.00°. The distinct sites, in fractional coordinates, are Mg at (0.0000, 0.0000, 0.2464), Ta at (0.0000, 0.0000, 0.0000) and Si at (0.0000, 0.0000, 0.5000).

***

Entry 2:
This record from the Alexandria database describes a relaxed SiPbW2 crystal. The functional is PBE.

The calculation puts the formation energy from raw total energies at 0.513 eV/atom. The calculated total energy comes out at -8.25 eV per atom.

It has space group P4/mmm (No. 123), with a = 3.1869 Å, b = 3.1869 Å, c = 7.1167 Å, α = 90.00°, β = 90.00° and γ = 90.00°. The distinct sites, in fractional coordinates, are Si at (0.0000, 0.0000, 0.0000), Pb at (0.0000, 0.0000, 0.5000) and W at (0.5000, 0.5000, 0.1797).

***

Entry 3:
This record from the Alexandria database describes a relaxed MnOsSeBr2 crystal. The functional is PBE.

The calculation puts the formation energy from raw total energies at 0.676 eV/atom. The calculated total energy comes out at -4.77 eV per atom.

It has space group P4/mmm (No. 123), with a = 5.2409 Å, b = 5.2409 Å, c = 4.6990 Å, α = 90.00°, β = 90.00° and γ = 90.00°. The distinct sites, in fractional coordinates, are Mn at (0.0000, 0.0000, 0.0000), Os at (0.5000, 0.5000, 0.5000), Se at (0.5000, 0.5000, 0.0000) and Br at (0.0000, 0.5000, 0.5000).

***

Entry 4:
This record from the Alexandria database describes a relaxed Ta3VAu crystal. The functional is PBE.

The formation enthalpy at 0 K is 1.927 eV/atom. The calculated total energy comes out at -7.66 eV per atom.

It has space group Pm-3m (No. 221), with a = 4.9304 Å, b = 4.9304 Å, c = 4.9304 Å, α = 90.00°, β = 90.00° and γ = 90.00°. The distinct sites, in fractional coordinates, are Ta at (0.0000, 0.0000, 0.5000), V at (0.5000, 0.5000, 0.5000) and Au at (0.0000, 0.0000, 0.0000).

***

Entry 5:
This record from the Alexandria database describes a relaxed TePAu3 crystal. The functional is PBE.

The calculation puts the formation energy from raw total energies at 0.980 eV/atom. The calculated total energy comes out at -2.70 eV per atom.

It has space group Pm-3m (No. 221), with a = 5.2851 Å, b = 5.2851 Å, c = 5.2851 Å, α = 90.00°, β = 90.00° and γ = 90.00°. The distinct sites, in fractional coordinates, are Te at (0.0000, 0.0000, 0.0000), P at (0.5000, 0.5000, 0.5000) and Au at (0.0000, 0.0000, 0.5000).

***

Entry 6:
This record from the Alexandria database describes a relaxed Y4SnTe3 crystal. The functional is PBE.

The calculation puts the formation energy from raw total energies at -1.230 eV/atom. The calculated total energy comes out at -6.14 eV per atom.

It has space group Cmmm (No. 65), with a = 8.7788 Å, b = 12.4110 Å, c = 4.3830 Å, α = 90.00°, β = 90.00° and γ = 90.00°. The distinct sites, in fractional coordinates, are Y at (0.0000, 0.2431, 0.0000), Y at (0.2389, 0.0000, 0.5000), Sn at (0.0000, 0.0000, 0.0000), Te at (0.0000, 0.5000, 0.0000) and Te at (0.2500, 0.2500, 0.5000).

***

Entry 7:
This record from the Alexandria database describes a relaxed Hf2ScRh2 crystal. The functional is PBE.

The formation enthalpy at 0 K is -0.679 eV/atom. The calculated total energy comes out at -8.87 eV per atom.

It has space group P4/mbm (No. 127), with a = 7.5074 Å, b = 7.5074 Å, c = 3.3676 Å, α = 90.00°, β = 90.00° and γ = 90.00°. The distinct sites, in fractional coordinates, are Hf at (0.1611, 0.3389, 0.0000), Sc at (0.0000, 0.0000, 0.5000) and Rh at (0.1371, 0.6371, 0.5000).

***

Entry 8:
This record from the Alexandria database describes a relaxed SmInPt5 crystal. The functional is PBE.

The formation enthalpy at 0 K is -0.669 eV/atom. The calculated total energy comes out at -6.05 eV per atom.

It has space group Pnma (No. 62), with a = 8.8802 Å, b = 5.3367 Å, c = 11.1057 Å, α = 90.00°, β = 90.00° and γ = 90.00°. The distinct sites, in fractional coordinates, are Sm at (0.2496, 0.2500, 0.0637), In at (0.1465, 0.2500, 0.3609), Pt at (0.0342, 0.2500, 0.5828), Pt at (0.0653, 0.5055, 0.7981), Pt at (0.0858, 0.7500, 0.0110) and Pt at (0.1909, 0.7500, 0.2399).

***

Entry 9:
This record from the Alexandria database describes a relaxed Fe5Ni2Pt5 crystal. The functional is PBE.

The formation enthalpy at 0 K is -0.031 eV/atom. The calculated total energy comes out at -7.04 eV per atom.

It has space group R-3m (No. 166, hexagonal axes), with a = 4.2284 Å, b = 4.2284 Å, c = 32.4173 Å, α = 90.00°, β = 90.00° and γ = 120.00°. The distinct sites, in fractional coordinates, are Fe at (0.0000, 0.0000, 0.0000), Fe at (0.0000, 0.0000, 0.1442), Fe at (0.0000, 0.0000, 0.3983), Ni at (0.0000, 0.0000, 0.0718), Pt at (0.0000, 0.0000, 0.2239), Pt at (0.0000, 0.0000, 0.3098) and Pt at (0.0000, 0.0000, 0.5000).

***

Entry 10:
This record from the Alexandria database describes a relaxed Tb2HoAs3 crystal. The functional is PBE.

The formation enthalpy at 0 K is -1.538 eV/atom. The calculated total energy comes out at -6.17 eV per atom.

It has space group I4/mmm (No. 139), with a = 4.1248 Å, b = 4.1248 Å, c = 17.5043 Å, α = 90.00°, β = 90.00° and γ = 90.00°. The distinct sites, in fractional coordinates, are Tb at (0.0000, 0.0000, 0.1666), Ho at (0.0000, 0.0000, 0.5000), As at (0.0000, 0.0000, 0.0000) and As at (0.0000, 0.0000, 0.3340).

***

Entry 11:
This record from the Alexandria database describes a relaxed LiZr2Ir crystal. The functional is PBE.

The formation enthalpy at 0 K is -0.467 eV/atom. The calculated total energy comes out at -7.44 eV per atom.

It has space group Fm-3m (No. 225), with a = 6.6108 Å, b = 6.6108 Å, c = 6.6108 Å, α = 90.00°, β = 90.00° and γ = 90.00°. The distinct sites, in fractional coordinates, are Li at (0.0000, 0.0000, 0.0000), Zr at (0.2500, 0.2500, 0.2500) and Ir at (0.0000, 0.0000, 0.5000).

***

Entry 12:
This record from the Alexandria database describes a relaxed Ho6Ga3Ru crystal. The functional is PBE.

The formation enthalpy at 0 K is -0.412 eV/atom. The calculated total energy comes out at -4.99 eV per atom.

It has space group Pnnm (No. 58), with a = 8.6204 Å, b = 11.3407 Å, c = 5.0005 Å, α = 90.00°, β = 90.00° and γ = 90.00°. The distinct sites, in fractional coordinates, are Ho at (0.0020, 0.2454, 0.0000), Ho at (0.1579, 0.0861, 0.5000), Ho at (0.1791, 0.4188, 0.5000), Ga at (0.0000, 0.5000, 0.0000), Ga at (0.1642, 0.7414, 0.5000) and Ru at (0.0000, 0.0000, 0.0000).